## 1
Computed, not measured: a geometry-optimized Mg12Cd2In5 structure at the PBE level of DFT.

Output
Its space group is C2/m.

abc: 5.705 9.506 9.506
angles: 64.74 75.90 75.90
Sites, in units of the cell vectors:
Mg (0.022, 0.897, 0.897)
Mg (0.206, 0.546, 0.061)
Mg (0.206, 0.061, 0.546)
Mg (0.624, 0.650, 0.151)
Mg (0.624, 0.151, 0.650)
Mg (0.288, 0.442, 0.442)
Mg (0.712, 0.558, 0.558)
Mg (0.376, 0.350, 0.849)
Mg (0.376, 0.849, 0.350)
Mg (0.794, 0.454, 0.939)
Mg (0.794, 0.939, 0.454)
Mg (0.978, 0.103, 0.103)
Cd (0.000, 0.252, 0.748)
Cd (0.000, 0.748, 0.252)
In (0.434, 0.208, 0.208)
In (0.849, 0.311, 0.311)
In (0.500, 0.000, 0.000)
In (0.151, 0.689, 0.689)
In (0.566, 0.792, 0.792)

## 2
Computed, not measured: a geometry-optimized Mg12Cd2In5 structure at the PBE level of DFT.

Output
Its space group is C2/m.

abc: 6.144 8.746 9.849
angles: 101.74 90.00 110.56
Sites, in units of the cell vectors:
Mg (0.124, 0.247, 0.328)
Mg (0.046, 0.600, 0.879)
Mg (0.554, 0.600, 0.879)
Mg (0.108, 0.709, 0.375)
Mg (0.601, 0.709, 0.375)
Mg (0.477, 0.954, 0.655)
Mg (0.523, 0.046, 0.345)
Mg (0.892, 0.291, 0.625)
Mg (0.399, 0.291, 0.625)
Mg (0.954, 0.400, 0.121)
Mg (0.446, 0.400, 0.121)
Mg (0.876, 0.753, 0.672)
Cd (0.762, 0.000, 0.000)
Cd (0.238, 0.000, 0.000)
In (0.296, 0.592, 0.606)
In (0.368, 0.737, 0.124)
In (0.000, 0.000, 0.500)
In (0.632, 0.263, 0.876)
In (0.704, 0.408, 0.394)

Which of them is the most stable? Correct choice: 1.

## 1
Computed, not measured: a geometry-optimized Mg5Cd2In5 structure at the PBE level of DFT.

Output
Its space group is C2/m.

abc: 4.963 5.569 12.962
angles: 101.36 90.00 116.46
Sites, in units of the cell vectors:
Mg (0.500, 0.000, 0.500)
Mg (0.651, 0.301, 0.978)
Mg (0.752, 0.503, 0.380)
Mg (0.248, 0.497, 0.620)
Mg (0.349, 0.699, 0.022)
Cd (0.124, 0.247, 0.812)
Cd (0.876, 0.753, 0.188)
In (0.077, 0.153, 0.395)
In (0.784, 0.569, 0.787)
In (0.216, 0.431, 0.213)
In (0.923, 0.847, 0.605)
In (0.000, 0.000, 0.000)

## 2
Computed, not measured: a geometry-optimized Mg5Cd2In5 structure at the PBE level of DFT.

Output
Its space group is C2/m.

abc: 4.466 7.235 9.745
angles: 72.69 76.75 72.02
Sites, in units of the cell vectors:
Mg (0.838, 0.827, 0.497)
Mg (0.256, 0.736, 0.752)
Mg (0.744, 0.264, 0.248)
Mg (0.162, 0.173, 0.503)
Mg (0.000, 0.000, 0.000)
Cd (0.918, 0.416, 0.748)
Cd (0.082, 0.584, 0.252)
In (0.500, 0.500, 0.500)
In (0.339, 0.327, 0.995)
In (0.402, 0.938, 0.259)
In (0.598, 0.062, 0.741)
In (0.661, 0.673, 0.005)

Which of them is the most stable? Correct choice: 2.

## 1
Computed, not measured: a geometry-optimized Mg7Cd12In structure at the PBE level of DFT.

Output
Its space group is R-3.

abc: 6.004 9.980 9.980
angles: 63.92 78.43 101.57
Sites, in units of the cell vectors:
Mg (0.842, 0.191, 0.161)
Mg (0.997, 0.839, 0.353)
Mg (0.349, 0.353, 0.809)
Mg (0.500, 0.000, 0.000)
Mg (0.651, 0.647, 0.191)
Mg (0.003, 0.161, 0.647)
Mg (0.158, 0.809, 0.839)
Cd (0.762, 0.505, 0.977)
Cd (0.262, 0.023, 0.482)
Cd (0.350, 0.196, 0.143)
Cd (0.507, 0.857, 0.340)
Cd (0.744, 0.482, 0.495)
Cd (0.846, 0.340, 0.804)
Cd (0.154, 0.660, 0.196)
Cd (0.256, 0.518, 0.505)
Cd (0.493, 0.143, 0.660)
Cd (0.650, 0.804, 0.857)
Cd (0.738, 0.977, 0.518)
Cd (0.238, 0.495, 0.023)
In (0.000, 0.000, 0.000)

## 2
Computed, not measured: a geometry-optimized Mg7Cd12In structure at the PBE level of DFT.

Output
Its space group is R-3.

abc: 8.195 8.195 8.195
angles: 107.31 107.31 107.31
Sites, in units of the cell vectors:
Mg (0.112, 0.672, 0.978)
Mg (0.328, 0.022, 0.888)
Mg (0.022, 0.888, 0.328)
Mg (0.500, 0.500, 0.500)
Mg (0.978, 0.112, 0.672)
Mg (0.672, 0.978, 0.112)
Mg (0.888, 0.328, 0.022)
Cd (0.765, 0.337, 0.637)
Cd (0.663, 0.363, 0.235)
Cd (0.402, 0.042, 0.300)
Cd (0.958, 0.700, 0.598)
Cd (0.363, 0.235, 0.663)
Cd (0.700, 0.598, 0.958)
Cd (0.300, 0.402, 0.042)
Cd (0.637, 0.765, 0.337)
Cd (0.042, 0.300, 0.402)
Cd (0.598, 0.958, 0.700)
Cd (0.337, 0.637, 0.765)
Cd (0.235, 0.663, 0.363)
In (0.000, 0.000, 0.000)

Which of them is the most stable? Correct choice: 2.